VASP calculation (PBE with a Hubbard U) on a relaxed BaOsWO6 crystal.

Geometry as CIF:
```
data_BaOsWO6
_cell_length_a 7.322
_cell_length_b 7.322
_cell_length_c 7.322
_cell_angle_alpha 122.21
_cell_angle_beta 118.90
_cell_angle_gamma 89.07
_symmetry_space_group_name_H-M 'P 1'
_symmetry_Int_Tables_number 1
loop_
_symmetry_equiv_pos_as_xyz
'x,y,z'
loop_
_atom_site_label
_atom_site_type_symbol
_atom_site_fract_x
_atom_site_fract_y
_atom_site_fract_z
_atom_site_occupancy
Ba1 Ba 0.333 0.083 0.250 1
Ba2 Ba 0.667 0.917 0.750 1
Os1 Os 0.000 0.000 0.500 1
Os2 Os 0.000 0.500 0.000 1
W1 W 0.000 0.500 0.500 1
W2 W 0.500 0.500 0.000 1
O1 O 0.065 0.418 0.244 1
O2 O 0.065 0.821 0.647 1
O3 O 0.070 0.820 0.250 1
O4 O 0.314 0.564 0.750 1
O5 O 0.326 0.179 0.744 1
O6 O 0.326 0.582 0.147 1
O7 O 0.674 0.418 0.853 1
O8 O 0.674 0.821 0.256 1
O9 O 0.686 0.436 0.250 1
O10 O 0.930 0.180 0.750 1
O11 O 0.935 0.179 0.353 1
O12 O 0.935 0.582 0.756 1
```

Raw total energy = -66.2 eV/f.u.